[1]
TbThTe3: relaxed, PBE-GGA.

## Properties
N(E_F) = 6.6 states/eV per cell
energy relative to the elements, uncorrected = -1.075 eV per atom
final energy = -5.37 eV/atom
E above lowest polymorph = 63 kJ/mol of formula units
density = 7.746 g/cm3
V = 33.18 A^3/atom

Structure (extended XYZ):
```
10
Lattice="4.502 0.000 0.000 0.000 6.238 0.000 0.000 0.000 11.814" Properties=species:S:1:pos:R:3 pbc="T T T"
Th 0.000 1.180 7.623
Th 0.000 4.299 4.191
Te 2.251 5.858 5.907
Te 2.251 2.739 5.907
Te 2.251 4.298 1.770
Te 0.000 4.298 8.610
Tb 2.251 4.298 10.537
Tb 2.251 1.179 1.277
Te 2.251 1.179 10.044
Te 0.000 1.180 3.204
```



[2]
In2BiAs2: relaxed, PBE-GGA.

## Properties
N(E_F) = 6.2 states/eV per cell
final energy = -3.52 eV/atom
energy of formation = 0.213 eV per atom
E above lowest polymorph = 11 kJ/mol of formula units
density = 7.979 g/cm3
V = 24.49 A^3/atom

Structure (extended XYZ):
```
10
Lattice="-8.204 0.138 0.819 -0.783 -3.979 -7.180 0.120 -3.154 1.735" Properties=species:S:1:pos:R:3 pbc="T T T"
As -6.006 -4.832 -4.631
In -5.343 -0.461 -0.469
As -1.761 -4.177 -3.735
In -1.416 -1.421 -2.486
As -7.107 -2.818 -0.892
In -7.572 -2.419 -3.876
Bi 0.000 0.000 0.000
Bi -4.494 -1.920 -3.181
As -2.862 -2.163 0.004
In -3.645 -3.380 -5.893
```



[3]
Ho2NiBi: relaxed, PBE-GGA.

## Properties
N(E_F) = 3.1 states/eV per cell
final energy = -4.88 eV/atom
energy of formation = -0.177 eV per atom
E above lowest polymorph = 150 kJ/mol of formula units
density = 8.392 g/cm3
V = 29.56 A^3/atom

Structure (extended XYZ):
```
4
Lattice="-2.393 2.122 -2.088 -3.760 -0.652 0.153 -2.819 6.578 6.420" Properties=species:S:1:pos:R:3 pbc="T T T"
Ni -4.486 4.024 2.243
Ho -6.414 3.540 0.468
Ho -2.558 4.507 4.017
Bi 0.000 0.000 0.000
```